Record 1
The following is a PBE-GGA calculation of a relaxed structure of HoTm2ThBi4, from Alexandria.

Lattice parameters (Å, degrees): 7.754 4.492 7.761 90.00 109.50 90.00
Positions (direct):
Ho 0.000 0.000 0.000
Tm 0.500 0.000 0.500
Tm 0.500 0.500 0.000
Th 0.000 0.500 0.500
Bi 0.256 0.500 0.248
Bi 0.259 0.000 0.758
Bi 0.741 0.000 0.242
Bi 0.744 0.500 0.752

As for the space group: No. 10. For the total moment, the calculation gives 0.00 μB/atom. The value obtained for the calculated formation energy is -0.7452 eV/atom.



Record 2
The following is a PBE-GGA calculation of a relaxed structure of SmTh3Mn, from Alexandria.

Lattice parameters (Å, degrees): 5.331 5.331 5.331 90.00 90.00 90.00
Positions (direct):
Sm 0.000 0.000 0.000
Th 0.000 0.500 0.500
Th 0.500 0.000 0.500
Th 0.500 0.500 0.000
Mn 0.500 0.500 0.500

As for the space group: No. 221. For the total moment, the calculation gives 0.00 μB/atom. The value obtained for the calculated formation energy is 0.1423 eV/atom.



Record 3
The following is a PBE-GGA calculation of a relaxed structure of Lu2MgBe, from Alexandria.

Lattice parameters (Å, degrees): 3.351 3.351 7.900 90.00 90.00 90.00
Positions (direct):
Lu 0.000 0.000 0.205
Lu 0.000 0.000 0.795
Mg 0.500 0.500 0.500
Be 0.500 0.500 0.000

As for the space group: No. 123. For the total moment, the calculation gives 0.00 μB/atom. The value obtained for the calculated formation energy is -0.0055 eV/atom.



Record 4
The following is a PBE-GGA calculation of a relaxed structure of LiLuAu, from Alexandria.

Lattice parameters (Å, degrees): 6.583 6.583 6.583 90.00 90.00 90.00
Positions (direct):
Li 0.000 0.000 0.000
Li 0.000 0.500 0.500
Li 0.500 0.000 0.500
Li 0.500 0.500 0.000
Lu 0.000 0.000 0.500
Lu 0.000 0.500 0.000
Lu 0.500 0.000 0.000
Lu 0.500 0.500 0.500
Au 0.250 0.250 0.250
Au 0.250 0.750 0.750
Au 0.750 0.250 0.750
Au 0.750 0.750 0.250

As for the space group: No. 216. For the total moment, the calculation gives 0.00 μB/atom. The value obtained for the calculated formation energy is -0.4501 eV/atom.



Record 5
The following is a PBE-GGA calculation of a relaxed structure of Y5Zn, from Alexandria.

Lattice parameters (Å, degrees): 4.806 14.998 4.837 90.00 90.00 90.00
Positions (direct):
Y 0.000 0.000 0.000
Y 0.000 0.160 0.500
Y 0.000 0.334 0.000
Y 0.000 0.666 0.000
Y 0.000 0.840 0.500
Y 0.500 0.166 0.000
Y 0.500 0.340 0.500
Y 0.500 0.500 0.000
Y 0.500 0.660 0.500
Y 0.500 0.834 0.000
Zn 0.000 0.500 0.500
Zn 0.500 0.000 0.500

As for the space group: No. 65. For the total moment, the calculation gives 0.00 μB/atom. The value obtained for the calculated formation energy is 0.0051 eV/atom.



Record 6
The following is a PBE-GGA calculation of a relaxed structure of HoAgHg2, from Alexandria.

Lattice parameters (Å, degrees): 4.553 4.553 4.471 90.00 90.00 90.00
Positions (direct):
Ho 0.000 0.000 0.000
Ag 0.500 0.500 0.000
Hg 0.000 0.500 0.500
Hg 0.500 0.000 0.500

As for the space group: No. 123. For the total moment, the calculation gives 0.00 μB/atom. The value obtained for the calculated formation energy is -0.2411 eV/atom.



Record 7
The following is a PBE-GGA calculation of a relaxed structure of DyScGePt, from Alexandria.

Lattice parameters (Å, degrees): 4.174 3.782 10.678 90.00 90.00 90.00
Positions (direct):
Dy 0.000 0.000 0.000
Dy 0.000 0.500 0.500
Sc 0.500 0.000 0.282
Sc 0.500 0.500 0.782
Ge 0.000 0.000 0.728
Ge 0.000 0.500 0.228
Pt 0.500 0.000 0.560
Pt 0.500 0.500 0.060

As for the space group: No. 38. For the total moment, the calculation gives 0.00 μB/atom. The value obtained for the calculated formation energy is -1.0426 eV/atom.



Record 8
The following is a PBE-GGA calculation of a relaxed structure of NbCuOs, from Alexandria.

Lattice parameters (Å, degrees): 3.291 3.291 8.372 90.00 90.00 90.00
Positions (direct):
Nb 0.000 0.000 0.000
Nb 0.500 0.500 0.500
Cu 0.000 0.000 0.671
Cu 0.500 0.500 0.171
Os 0.000 0.000 0.339
Os 0.500 0.500 0.839

As for the space group: No. 107. For the total moment, the calculation gives 0.00 μB/atom. The value obtained for the calculated formation energy is -0.0043 eV/atom.



Taking the records one at a time from the top gives VASP energy values of -42.43 -35.44 -14.39 -44.25 -67.13 -9.00 -51.52 -50.82 eV/cell.